CaHf2Ni2 | GGA-PBE | optimized geometry

ΔE_f (meV per atom): -96
Calculated total energy (eV per atom): -6.790
Polymorph energy (0 for the lowest one) (eV/f.u.): 0.48

Cell: 7.807 7.807 3.037 Å, 90.00 90.00 90.00°
Fractional coordinates of all 10 atoms:
Ca  0.000  0.000  0.000
Ca  0.500  0.500  0.000
Hf  0.144  0.356  0.000
Hf  0.356  0.856  0.000
Hf  0.644  0.144  0.000
Hf  0.856  0.644  0.000
Ni  0.141  0.641  0.500
Ni  0.359  0.141  0.500
Ni  0.641  0.859  0.500
Ni  0.859  0.359  0.500